VASP calculation (PBEsol) on a relaxed structure of InRhIN2.

Cell and atoms, written as POSCAR:
```
InRhIN2
1.0
-2.349 -2.034 2.534
1.607 -3.445 -1.275
3.855 0.367 3.868
N Rh In I
2 1 1 1
direct
0.500 0.000 0.000 N
0.000 0.500 0.000 N
0.000 0.000 0.000 Rh
0.500 0.500 0.500 In
0.000 0.000 0.500 I
```

Properties
ΔE_f (raw)   106 kJ per mole of atoms
SG   P4/mmm, No. 123
Magnetization   0.004 μB per atom
Density   7.03 g/cm3

VASP calculation (PBEsol) on a relaxed structure of InSIN2.

Cell and atoms, written as POSCAR:
```
InSIN2
1.0
-1.086 2.399 -2.880
0.466 -2.888 -2.583
-6.109 -1.746 0.849
N S I In
2 1 1 1
direct
0.000 0.500 0.000 N
0.500 0.000 0.000 N
0.000 0.000 0.000 S
0.000 0.000 0.500 I
0.500 0.500 0.500 In
```

Properties
ΔE_f (raw)   152 kJ per mole of atoms
ΔE to the lowest computed polymorph   0.190 eV/atom
SG   P4/mmm, No. 123
Magnetization   0.153 μB per atom
Density   5.13 g/cm3

VASP calculation (PBEsol) on a relaxed structure of InSIN2.

Cell and atoms, written as POSCAR:
```
InSIN2
1.0
4.006 0.000 0.000
0.000 4.006 0.000
0.000 0.000 5.329
In I N S
1 1 2 1
direct
0.500 0.500 0.500 In
0.000 0.000 0.000 I
0.000 0.500 0.000 N
0.500 0.000 0.000 N
0.000 0.000 0.500 S
```

Properties
ΔE_f (raw)   134 kJ per mole of atoms
ΔE to the lowest computed polymorph   0.000 eV/atom
SG   P4/mmm, No. 123
Magnetization   0.000 μB per atom
Density   5.86 g/cm3

VASP calculation (PBEsol) on a relaxed structure of InSbI2N.

Cell and atoms, written as POSCAR:
```
InSbI2N
1.0
3.911 0.000 0.000
0.000 5.994 0.000
0.000 0.000 5.994
N Sb I In
1 1 2 1
direct
0.500 0.000 0.000 N
0.500 0.500 0.500 Sb
0.000 0.000 0.500 I
0.000 0.500 0.000 I
0.000 0.000 0.000 In
```

Properties
ΔE_f (raw)   66 kJ per mole of atoms
SG   P4/mmm, No. 123
Magnetization   0.154 μB per atom
Density   5.96 g/cm3

VASP calculation (PBEsol) on a relaxed structure of InSb2IN.

Cell and atoms, written as POSCAR:
```
InSb2IN
1.0
5.620 0.000 0.000
0.000 5.620 0.000
0.000 0.000 5.949
In I N Sb
1 1 1 2
direct
0.000 0.000 0.000 In
0.000 0.000 0.500 I
0.500 0.500 0.500 N
0.500 0.000 0.000 Sb
0.000 0.500 0.000 Sb
```

Properties
ΔE_f (raw)   152 kJ per mole of atoms
SG   P4/mmm, No. 123
Magnetization   0.202 μB per atom
Density   4.41 g/cm3

VASP calculation (PBEsol) on a relaxed structure of TlInI2N.

Cell and atoms, written as POSCAR:
```
TlInI2N
1.0
-3.486 1.814 0.996
-3.103 -4.465 -2.728
-0.124 -3.108 5.228
I Tl N In
2 1 1 1
direct
0.000 0.500 0.000 I
0.000 0.000 0.500 I
0.500 0.500 0.500 Tl
0.500 0.000 0.000 N
0.000 0.000 0.000 In
```

Properties
ΔE_f (raw)   22 kJ per mole of atoms
SG   P4/mmm, No. 123
Magnetization   0.204 μB per atom
Density   6.50 g/cm3

VASP calculation (PBEsol) on a relaxed structure of YInI2N.

Cell and atoms, written as POSCAR:
```
YInI2N
1.0
3.857 0.000 0.000
0.000 5.989 0.000
0.000 0.000 5.989
Y In I N
1 1 2 1
direct
0.500 0.500 0.500 Y
0.000 0.000 0.000 In
0.000 0.000 0.500 I
0.000 0.500 0.000 I
0.500 0.000 0.000 N
```

Properties
ΔE_f (raw)   17 kJ per mole of atoms
SG   P4/mmm, No. 123
Magnetization   0.000 μB per atom
Density   5.66 g/cm3

VASP calculation (PBEsol) on a relaxed structure of Na2InI.

Cell and atoms, written as POSCAR:
```
Na2InI
1.0
5.582 0.000 0.000
2.791 4.834 0.000
2.791 1.611 4.558
I Na In
1 2 1
direct
0.500 0.500 0.500 I
0.250 0.250 0.250 Na
0.750 0.750 0.750 Na
0.000 0.000 0.000 In
```

Properties
ΔE_f (raw)   -25 kJ per mole of atoms
SG   Fm-3m, No. 225
Magnetization   0.000 μB per atom
Density   3.88 g/cm3